# 1
Cu14PdAu: optimized geometry, GGA-PBE.

CIF file:
```
data_Cu14PdAu
_space_group_name_H-M_alt 'A m m 2'
_space_group_IT_number 38
_cell_length_a 8.488
_cell_length_b 5.353
_cell_length_c 8.920
_cell_angle_alpha 90.00
_cell_angle_beta 90.00
_cell_angle_gamma 90.00
loop_
_space_group_symop_operation_xyz
'x,y,z'
'-x,-y,z'
'-x,y,z'
'x,-y,z'
'x,y+1/2,z+1/2'
'-x,-y+1/2,z+1/2'
'-x,y+1/2,z+1/2'
'x,-y+1/2,z+1/2'
loop_
_atom_site_label
_atom_site_type_symbol
_atom_site_fract_x
_atom_site_fract_y
_atom_site_fract_z
_atom_site_occupancy
Cu1 Cu 0.000 0.000 0.000 1
Cu2 Cu 0.000 0.000 0.500 1
Cu3 Cu 0.000 0.250 0.248 1
Cu4 Cu 0.239 0.248 0.421 1
Cu5 Cu 0.243 0.000 0.667 1
Cu6 Cu 0.245 0.000 0.169 1
Cu7 Cu 0.500 0.250 0.093 1
Pd1 Pd 0.500 0.000 0.344 1
Au1 Au 0.500 0.000 0.843 1
```

## Properties
energy of formation from the pure elements	0.00	eV per atom


# 2
Cu2Pd7Au: optimized geometry, GGA-PBE.

CIF file:
```
data_Cu2Pd7Au
_space_group_name_H-M_alt 'C m m m'
_space_group_IT_number 65
_space_group_name_Hall '-C 2 2'
_cell_length_a 7.163
_cell_length_b 12.495
_cell_length_c 4.259
_cell_angle_alpha 90.00
_cell_angle_beta 90.00
_cell_angle_gamma 90.00
loop_
_atom_site_label
_atom_site_type_symbol
_atom_site_fract_x
_atom_site_fract_y
_atom_site_fract_z
_atom_site_occupancy
Cu1 Cu 0.000 0.197 0.000 1
Pd1 Pd 0.000 0.000 0.000 1
Pd2 Pd 0.000 0.287 0.500 1
Pd3 Pd 0.186 0.386 0.000 1
Au1 Au 0.000 0.500 0.500 1
```

## Properties
energy of formation from the pure elements	0.47	eV per atom


# 3
CuPd2Au2: optimized geometry, GGA-PBE.

CIF file:
```
data_CuPd2Au2
_space_group_name_H-M_alt 'P -1'
_space_group_IT_number 2
_cell_length_a 2.869
_cell_length_b 4.931
_cell_length_c 6.127
_cell_angle_alpha 95.34
_cell_angle_beta 103.46
_cell_angle_gamma 106.85
loop_
_space_group_symop_operation_xyz
'x,y,z'
'-x,-y,-z'
loop_
_atom_site_label
_atom_site_type_symbol
_atom_site_fract_x
_atom_site_fract_y
_atom_site_fract_z
_atom_site_occupancy
Cu1 Cu 0.000 0.000 0.000 1
Pd1 Pd 0.207 0.803 0.613 1
Au1 Au 0.408 0.615 0.201 1
```

## Properties
energy of formation from the pure elements	-0.08	eV per atom
relative energy among the computed polymorphs	0.26	kcal/mol of atoms


# 4
Cu4Pd3Au4: optimized geometry, GGA-PBE.

CIF file:
```
data_Cu4Pd3Au4
_space_group_name_H-M_alt 'A m m 2'
_space_group_IT_number 38
_cell_length_a 8.150
_cell_length_b 4.273
_cell_length_c 9.834
_cell_angle_alpha 90.00
_cell_angle_beta 90.00
_cell_angle_gamma 90.00
loop_
_space_group_symop_operation_xyz
'x,y,z'
'-x,-y,z'
'-x,y,z'
'x,-y,z'
'x,y+1/2,z+1/2'
'-x,-y+1/2,z+1/2'
'-x,y+1/2,z+1/2'
'x,-y+1/2,z+1/2'
loop_
_atom_site_label
_atom_site_type_symbol
_atom_site_fract_x
_atom_site_fract_y
_atom_site_fract_z
_atom_site_occupancy
Cu1 Cu 0.000 0.000 0.000 1
Cu2 Cu 0.225 0.000 0.836 1
Cu3 Cu 0.500 0.000 0.975 1
Pd1 Pd 0.000 0.000 0.342 1
Pd2 Pd 0.301 0.000 0.472 1
Au1 Au 0.000 0.000 0.644 1
Au2 Au 0.268 0.000 0.166 1
Au3 Au 0.500 0.000 0.702 1
```

## Properties
energy of formation from the pure elements	-0.03	eV per atom
relative energy among the computed polymorphs	1.12	kcal/mol of atoms


# 5
Cu2PdAu2: optimized geometry, GGA-PBE.

CIF file:
```
data_Cu2PdAu2
_space_group_name_H-M_alt 'P 4/m b m'
_space_group_IT_number 127
_space_group_name_Hall '-P 4 2ab'
_cell_length_a 7.133
_cell_length_b 7.133
_cell_length_c 3.062
_cell_angle_alpha 90.00
_cell_angle_beta 90.00
_cell_angle_gamma 90.00
loop_
_atom_site_label
_atom_site_type_symbol
_atom_site_fract_x
_atom_site_fract_y
_atom_site_fract_z
_atom_site_occupancy
Cu1 Cu 0.125 0.375 0.000 1
Pd1 Pd 0.000 0.000 0.000 1
Au1 Au 0.172 0.672 0.500 1
```

## Properties
energy of formation from the pure elements	0.01	eV per atom
relative energy among the computed polymorphs	1.32	kcal/mol of atoms


# 6
Cu2Pd7Au3: optimized geometry, GGA-PBE.

CIF file:
```
data_Cu2Pd7Au3
_space_group_name_H-M_alt 'P 1 2/m 1'
_space_group_IT_number 10
_cell_length_a 5.070
_cell_length_b 2.764
_cell_length_c 13.624
_cell_angle_alpha 90.00
_cell_angle_beta 95.82
_cell_angle_gamma 90.00
loop_
_space_group_symop_operation_xyz
'x,y,z'
'-x,-y,-z'
'-x,y,-z'
'x,-y,z'
loop_
_atom_site_label
_atom_site_type_symbol
_atom_site_fract_x
_atom_site_fract_y
_atom_site_fract_z
_atom_site_occupancy
Cu1 Cu 0.043 0.000 0.172 1
Pd1 Pd 0.000 0.500 0.500 1
Pd2 Pd 0.224 0.000 0.670 1
Pd3 Pd 0.249 0.000 0.002 1
Pd4 Pd 0.266 0.500 0.328 1
Au1 Au 0.454 0.500 0.839 1
Au2 Au 0.500 0.000 0.500 1
```

## Properties
energy of formation from the pure elements	0.00	eV per atom
relative energy among the computed polymorphs	1.58	kcal/mol of atoms


# 7
Cu5Pd2Au2: optimized geometry, GGA-PBE.

CIF file:
```
data_Cu5Pd2Au2
_space_group_name_H-M_alt 'P -1'
_space_group_IT_number 2
_cell_length_a 2.875
_cell_length_b 5.603
_cell_length_c 8.500
_cell_angle_alpha 74.89
_cell_angle_beta 89.88
_cell_angle_gamma 75.15
loop_
_space_group_symop_operation_xyz
'x,y,z'
'-x,-y,-z'
loop_
_atom_site_label
_atom_site_type_symbol
_atom_site_fract_x
_atom_site_fract_y
_atom_site_fract_z
_atom_site_occupancy
Cu1 Cu 0.000 0.000 0.000 1
Cu2 Cu 0.331 0.339 0.455 1
Cu3 Cu 0.333 0.334 0.094 1
Pd1 Pd 0.321 0.357 0.780 1
Au1 Au 0.010 0.980 0.675 1
```

## Properties
energy of formation from the pure elements	-0.07	eV per atom
relative energy among the computed polymorphs	0.00	kcal/mol of atoms


# 8
Cu3Pd6Au: optimized geometry, GGA-PBE.

CIF file:
```
data_Cu3Pd6Au
_space_group_name_H-M_alt 'C m c 21'
_space_group_IT_number 36
_cell_length_a 7.527
_cell_length_b 16.056
_cell_length_c 4.994
_cell_angle_alpha 90.00
_cell_angle_beta 90.00
_cell_angle_gamma 90.00
loop_
_space_group_symop_operation_xyz
'x,y,z'
'-x,-y,z+1/2'
'-x,y,z'
'x,-y,z+1/2'
'x+1/2,y+1/2,z'
'-x+1/2,-y+1/2,z+1/2'
'-x+1/2,y+1/2,z'
'x+1/2,-y+1/2,z+1/2'
loop_
_atom_site_label
_atom_site_type_symbol
_atom_site_fract_x
_atom_site_fract_y
_atom_site_fract_z
_atom_site_occupancy
Cu1 Cu 0.000 0.078 0.000 1
Cu2 Cu 0.181 0.383 0.388 1
Pd1 Pd 0.000 0.193 0.671 1
Pd2 Pd 0.000 0.496 0.659 1
Pd3 Pd 0.179 0.222 0.200 1
Pd4 Pd 0.186 0.055 0.433 1
Au1 Au 0.000 0.346 0.914 1
```

## Properties
energy of formation from the pure elements	0.00	eV per atom
relative energy among the computed polymorphs	0.00	kcal/mol of atoms


# 9
Cu5Pd6Au: optimized geometry, GGA-PBE.

CIF file:
```
data_Cu5Pd6Au
_space_group_name_H-M_alt 'P 1 2/m 1'
_space_group_IT_number 10
_cell_length_a 4.293
_cell_length_b 6.216
_cell_length_c 6.791
_cell_angle_alpha 90.00
_cell_angle_beta 108.28
_cell_angle_gamma 90.00
loop_
_space_group_symop_operation_xyz
'x,y,z'
'-x,-y,-z'
'-x,y,-z'
'x,-y,z'
loop_
_atom_site_label
_atom_site_type_symbol
_atom_site_fract_x
_atom_site_fract_y
_atom_site_fract_z
_atom_site_occupancy
Cu1 Cu 0.000 0.000 0.000 1
Cu2 Cu 0.333 0.000 0.667 1
Cu3 Cu 0.336 0.500 0.673 1
Pd1 Pd 0.172 0.244 0.344 1
Pd2 Pd 0.500 0.233 0.000 1
Au1 Au 0.000 0.500 0.000 1
```

## Properties
energy of formation from the pure elements	-0.09	eV per atom


# 10
Cu5Pd2Au3: optimized geometry, GGA-PBE.

CIF file:
```
data_Cu5Pd2Au3
_space_group_name_H-M_alt 'C 1 2/c 1'
_space_group_IT_number 15
_cell_length_a 9.178
_cell_length_b 12.409
_cell_length_c 5.172
_cell_angle_alpha 90.00
_cell_angle_beta 91.94
_cell_angle_gamma 90.00
loop_
_space_group_symop_operation_xyz
'x,y,z'
'-x,-y,-z'
'-x,y,-z+1/2'
'x,-y,z+1/2'
'x+1/2,y+1/2,z'
'-x+1/2,-y+1/2,-z'
'-x+1/2,y+1/2,-z+1/2'
'x+1/2,-y+1/2,z+1/2'
loop_
_atom_site_label
_atom_site_type_symbol
_atom_site_fract_x
_atom_site_fract_y
_atom_site_fract_z
_atom_site_occupancy
Cu1 Cu 0.000 0.039 0.250 1
Cu2 Cu 0.121 0.352 0.643 1
Cu3 Cu 0.249 0.044 0.011 1
Pd1 Pd 0.123 0.247 0.117 1
Au1 Au 0.000 0.453 0.250 1
Au2 Au 0.135 0.146 0.615 1
```

## Properties
energy of formation from the pure elements	-0.02	eV per atom


# 11
CuPd7Au4: optimized geometry, GGA-PBE.

CIF file:
```
data_CuPd7Au4
_space_group_name_H-M_alt 'P -1'
_space_group_IT_number 2
_cell_length_a 4.917
_cell_length_b 5.672
_cell_length_c 7.478
_cell_angle_alpha 100.55
_cell_angle_beta 109.02
_cell_angle_gamma 90.30
loop_
_space_group_symop_operation_xyz
'x,y,z'
'-x,-y,-z'
loop_
_atom_site_label
_atom_site_type_symbol
_atom_site_fract_x
_atom_site_fract_y
_atom_site_fract_z
_atom_site_occupancy
Cu1 Cu 0.000 0.000 0.000 1
Pd1 Pd 0.000 0.500 0.000 1
Pd2 Pd 0.166 0.917 0.673 1
Pd3 Pd 0.329 0.329 0.327 1
Pd4 Pd 0.498 0.245 0.002 1
Au1 Au 0.172 0.418 0.668 1
Au2 Au 0.328 0.836 0.328 1
```

## Properties
energy of formation from the pure elements	-0.06	eV per atom
relative energy among the computed polymorphs	0.00	kcal/mol of atoms


# 12
CuPd12Au3: optimized geometry, GGA-PBE.

CIF file:
```
data_CuPd12Au3
_space_group_name_H-M_alt 'P 4/m m m'
_space_group_IT_number 123
_space_group_name_Hall '-P 4 2'
_cell_length_a 3.981
_cell_length_b 3.981
_cell_length_c 15.895
_cell_angle_alpha 90.00
_cell_angle_beta 90.00
_cell_angle_gamma 90.00
loop_
_atom_site_label
_atom_site_type_symbol
_atom_site_fract_x
_atom_site_fract_y
_atom_site_fract_z
_atom_site_occupancy
Cu1 Cu 0.000 0.000 0.000 1
Pd1 Pd 0.000 0.500 0.117 1
Pd2 Pd 0.000 0.500 0.373 1
Pd3 Pd 0.500 0.500 0.000 1
Pd4 Pd 0.500 0.500 0.245 1
Pd5 Pd 0.500 0.500 0.500 1
Au1 Au 0.000 0.000 0.245 1
Au2 Au 0.000 0.000 0.500 1
```

## Properties
energy of formation from the pure elements	-0.05	eV per atom